No. 1
Computed, not measured: HfGaH2Cl after structural relaxation at the PBE level of DFT.

symmetry: P4/mmm (123)

Cell lengths 3.845, 3.845, 5.173 Å; angles 90.00, 90.00, 90.00 degrees
Positions (direct):
Hf 0.000 0.000 0.000
Ga 0.500 0.500 0.000
H 0.000 0.500 0.500
H 0.500 0.000 0.500
Cl 0.000 0.000 0.500

No. 2
Computed, not measured: GaHICl2 after structural relaxation at the PBE level of DFT.

symmetry: P4/mmm (123)

Cell lengths 5.522, 5.522, 3.822 Å; angles 90.00, 90.00, 90.00 degrees
Positions (direct):
Ga 0.000 0.000 0.000
H 0.500 0.500 0.500
I 0.500 0.500 0.000
Cl 0.000 0.500 0.500
Cl 0.500 0.000 0.500

How do the records compare in total energy? In the order shown, they have -3.66; -2.27 eV/atom.
How do the records compare in M_tot? In the order shown, they have 0.00; 0.00 μB/atom.